4
Lattice="0.0000 3.4508 3.4508 3.4508 0.0000 3.4508 3.4508 3.4508 0.0000" Properties=species:S:1:pos:R:3 comment="LiErTmTc | Alexandria | GGA-PBE | optimized geometry" ef_ev_per_atom=-0.067 volume_a3_per_fu=82 total_energy_ev_per_atom=-5.396 pbc="T T T"
Li 0.0000 0.0000 0.0000
Er 1.7254 1.7254 1.7254
Tm 5.1762 5.1762 5.1762
Tc 3.4508 3.4508 3.4508


10
Lattice="-2.0505 2.0505 11.0489 2.0505 -2.0505 11.0489 2.0505 2.0505 -11.0489" Properties=species:S:1:pos:R:3 comment="NdAl2Ru2 | Alexandria | GGA-PBE | optimized geometry" ef_ev_per_atom=-0.452 volume_a3_per_fu=93 total_energy_ev_per_atom=-6.613 pbc="T T T"
Nd 0.0000 0.0000 2.8127
Nd 0.0000 0.0000 19.2851
Al 2.0505 0.0000 0.0000
Al 0.0000 0.0000 6.9608
Al 0.0000 2.0505 0.0000
Al 0.0000 0.0000 15.1370
Ru 2.0505 0.0000 5.5244
Ru 0.0000 0.0000 9.5512
Ru 0.0000 0.0000 12.5466
Ru 0.0000 2.0505 5.5244


4
Lattice="3.1599 0.0000 0.0000 0.0000 3.1599 0.0000 0.0000 0.0000 8.5145" Properties=species:S:1:pos:R:3 comment="LaTlRe2 | Alexandria | GGA-PBE | optimized geometry" polymorph_energy_mev_per_atom=0 ef_ev_per_atom=0.191 volume_a3_per_fu=85 total_energy_ev_per_atom=-7.856 pbc="T T T"
La 0.0000 0.0000 0.0000
Tl 1.5800 1.5800 5.7776
Re 0.0000 0.0000 3.5932
Re 1.5800 1.5800 2.2674


8
Lattice="6.9797 0.0000 0.0000 0.0000 4.0215 0.0000 -2.2992 0.0000 6.6129" Properties=species:S:1:pos:R:3 comment="NaPr2HoS4 | Alexandria | GGA-PBE | optimized geometry" volume_a3_per_fu=186 total_energy_ev_per_atom=-5.893 raw_formation_energy_mev_per_atom=-1897 pbc="T T T"
Na 0.0000 0.0000 0.0000
Pr -1.1496 2.0108 3.3065
Pr 2.3403 0.0000 3.3065
Ho 3.4899 2.0108 0.0000
S 1.2218 2.0108 1.5936
S 0.0500 0.0000 5.0676
S 4.6306 0.0000 1.5454
S 3.4588 2.0108 5.0193


11
Lattice="8.1345 -5.1160 0.0000 8.1345 5.1160 0.0000 -0.0568 0.0000 7.3789" Properties=species:S:1:pos:R:3 comment="NdHo2I8 | Alexandria | GGA-PBE | optimized geometry" volume_a3_per_fu=614 total_energy_ev_per_atom=-3.615 raw_formation_energy_mev_per_atom=-1221 pbc="T T T"
Nd 0.0000 0.0000 0.0000
Ho 2.6820 0.0000 4.6411
Ho 13.5302 0.0000 2.7379
I 6.8995 2.8026 1.8047
I 2.7325 0.0000 1.6986
I 9.3126 2.8026 5.5742
I 5.3876 0.0000 5.4086
I 10.8245 0.0000 1.9703
I 6.8995 -2.8026 1.8047
I 13.4796 0.0000 5.6803
I 9.3126 -2.8026 5.5742


9
Lattice="-1.5822 4.0173 7.2067 1.5822 -4.0173 7.2067 1.5822 4.0173 -7.2067" Properties=species:S:1:pos:R:3 comment="CaMg2Ag6 | Alexandria | GGA-PBE | optimized geometry" ef_ev_per_atom=-0.119 volume_a3_per_fu=183 total_energy_ev_per_atom=-2.596 pbc="T T T"
Ca 0.0000 0.0000 0.0000
Mg 1.5822 0.0000 5.0830
Mg 0.0000 4.0173 2.1237
Ag 1.5822 1.4351 -2.5328
Ag 1.5822 2.6545 0.0000
Ag 1.5822 1.4351 2.5328
Ag 0.0000 2.5822 4.6739
Ag 0.0000 1.3628 7.2067
Ag 0.0000 2.5822 9.7395